Entry from Alexandria via LeMat-Bulk: an optimized crystal structure of ErSc3Ag (PBE-GGA).

Lattice parameters (Å, degrees): 6.3907 8.6151 9.0195 90.00 90.00 90.00
Element x y z (fractional)
Er  0.2733  0.6439  0.7500
Er  0.2267  0.1439  0.2500
Er  0.7267  0.3561  0.2500
Er  0.7733  0.8561  0.7500
Sc  0.8924  0.1711  0.9463
Sc  0.6076  0.6711  0.4463
Sc  0.6076  0.6711  0.0537
Sc  0.1076  0.8289  0.4463
Sc  0.1076  0.8289  0.0537
Sc  0.3924  0.3289  0.5537
Sc  0.3924  0.3289  0.9463
Sc  0.8924  0.1711  0.5537
Sc  0.2386  0.0194  0.7500
Sc  0.2614  0.5194  0.2500
Sc  0.7614  0.9806  0.2500
Sc  0.7386  0.4806  0.7500
Ag  0.0000  0.5000  0.0000
Ag  0.5000  0.0000  0.5000
Ag  0.5000  0.0000  0.0000
Ag  0.0000  0.5000  0.5000

Calculated values
total magnetic moment	0.06	μB per cell
E_tot	-5.289	eV/atom
ρ	5.5	g cm⁻³